A geometry-optimized Zr2InBr structure. Source: Alexandria via LeMat-Bulk, functional GGA-PBE.

Computed properties:
Formation energy (no corrections)   -0.0636 eV/atom

Unit cell a=3.3497 b=4.9876 c=5.6124 alpha=90.00 beta=90.00 gamma=90.00
With the nearest neighbours (Å) after each atom.
Space group Pmmm (No. 47)
One atom of each set of equivalent atoms:
Zr 0.0000 0.0000 0.0000 (multiplicity 1)  4 Br 3.00, 6 Zr 3.27-3.35
Zr 0.5000 0.0000 0.5000 (multiplicity 1)  4 In 3.00, 6 Zr 3.27-3.35
In 0.0000 0.5000 0.5000 (multiplicity 1)  4 Zr 3.00, 4 Br 3.27, 2 In 3.35
Br 0.5000 0.5000 0.0000 (multiplicity 1)  4 Zr 3.00, 4 In 3.27, 2 Br 3.35

A geometry-optimized CdPS2F structure. Source: Alexandria via LeMat-Bulk, functional GGA-PBE.

Computed properties:
Formation energy (no corrections)   0.9668 eV/atom

Unit cell a=4.9073 b=4.9073 c=5.1507 alpha=90.00 beta=90.00 gamma=90.00
With the nearest neighbours (Å) after each atom.
Space group P4/mmm (No. 123)
One atom of each set of equivalent atoms:
Cd 0.0000 0.0000 0.0000 (multiplicity 1)  4 S 2.45, 2 P 2.58
P 0.0000 0.0000 0.5000 (multiplicity 1)  2 Cd 2.58
S 0.0000 0.5000 0.0000 (multiplicity 2)  2 Cd 2.45
F 0.5000 0.5000 0.5000 (multiplicity 1)  4 P 3.47, 8 S 3.56

A geometry-optimized Nd4Er3Tm4 structure. Source: Alexandria via LeMat-Bulk, functional GGA-PBE.

Computed properties:
DFT formation energy   0.021 eV per atom

Unit cell a=3.5693 b=5.0097 c=19.8689 alpha=82.81 beta=84.86 gamma=89.99
With the nearest neighbours (Å) after each atom.
Space group P-1 (No. 2)
One atom of each set of equivalent atoms:
Nd 0.0902 0.0910 0.3200 (multiplicity 2)  5 Er 3.53-3.57, 5 Tm 3.55-3.57, 2 Nd 3.57
Nd 0.2731 0.2728 0.9532 (multiplicity 2)  1 Er 3.56, 6 Nd 3.57-3.59, 5 Tm 3.57-3.65
Er 0.0000 0.0000 0.5000 (multiplicity 1)  8 Tm 3.53-3.54, 2 Nd 3.53, 2 Er 3.57
Er 0.3637 0.3627 0.7721 (multiplicity 2)  5 Tm 3.53-3.60, 5 Nd 3.56-3.57, 2 Er 3.57
Tm 0.1806 0.1817 0.1393 (multiplicity 2)  4 Er 3.53-3.54, 6 Nd 3.55-3.65, 2 Tm 3.57
Tm 0.4557 0.4554 0.5885 (multiplicity 2)  3 Tm 3.48-3.57, 5 Er 3.53-3.60, 4 Nd 3.56-3.57

A geometry-optimized PRhC2 structure. Source: Alexandria via LeMat-Bulk, functional GGA-PBE.

Computed properties:
DFT formation energy   0.483 eV per atom

Unit cell a=7.4813 b=2.8755 c=5.3347 alpha=90.00 beta=128.42 gamma=90.00
With the nearest neighbours (Å) after each atom.
Space group Cm (No. 8)
One atom of each set of equivalent atoms:
P 0.0000 0.0000 0.0000 (multiplicity 2)  3 C 1.81-1.83
Rh 0.4760 0.5000 0.4023 (multiplicity 2)  3 C 2.05-2.21, 1 P 2.26
C 0.1229 0.5000 0.9500 (multiplicity 2)  1 C 1.50
C 0.1871 0.5000 0.7333 (multiplicity 2)  1 C 1.50

A geometry-optimized TaFe2HPt structure. Source: Alexandria via LeMat-Bulk, functional GGA-PBE.

Computed properties:
VASP energy   -7.8235 eV per atom

Unit cell a=3.8582 b=3.8582 c=3.7352 alpha=90.00 beta=90.00 gamma=90.00
With the nearest neighbours (Å) after each atom.
Space group P4/mmm (No. 123)
One atom of each set of equivalent atoms:
Ta 0.0000 0.0000 0.0000 (multiplicity 1)  8 Fe 2.69, 4 Pt 2.73
Fe 0.0000 0.5000 0.5000 (multiplicity 2)  2 H 1.93
H 0.5000 0.5000 0.5000 (multiplicity 1)  2 Pt 1.87, 4 Fe 1.93
Pt 0.5000 0.5000 0.0000 (multiplicity 1)  2 H 1.87

A geometry-optimized Nd2In6IrPd structure. Source: Alexandria via LeMat-Bulk, functional GGA-PBE.

Computed properties:
DFT formation energy   -0.178 eV per atom

Unit cell a=10.2594 b=10.2594 c=10.2594 alpha=90.00 beta=90.00 gamma=90.00
With the nearest neighbours (Å) after each atom.
Space group Fm-3m (No. 225)
One atom of each set of equivalent atoms:
Nd 0.2500 0.2500 0.2500 (multiplicity 8)  12 In 3.63
In 0.0000 0.0000 0.2491 (multiplicity 24)  1 Pd 2.56, 1 Ir 2.57
Ir 0.0000 0.0000 0.5000 (multiplicity 4)  6 In 2.57
Pd 0.0000 0.0000 0.0000 (multiplicity 4)  6 In 2.56

Question: Which formula does entry 2 have?
Answer: CdPS2F